Record 1
Here is a relaxed structure of SnPd2Rh from Alexandria. Energies are from PBE-GGA.

Spin magnetization ... 0.00 μB per cell
Energy of formation ... -0.081 eV/atom
D(E_F) ... 4.1 states/eV/f.u.
Space group ... I-42d (122)

```
8
Lattice="3.8218 0.0000 0.0000 0.0000 3.8218 0.0000 1.9109 1.9109 9.6442" Properties=species:S:1:pos:R:3 pbc="T T T"
Rh 1.9109 1.9109 0.0000
Rh 1.9109 3.8218 4.8221
Sn 0.0000 0.0000 0.0000
Sn 3.8218 1.9109 4.8221
Pd 2.8515 0.9555 2.4111
Pd 0.9703 2.8664 2.4111
Pd 2.8664 2.8812 7.2332
Pd 4.7773 4.7624 7.2332
```

---

Record 2
Here is a relaxed structure of SnPdRh2 from Alexandria. Energies are from PBE-GGA.

Spin magnetization ... 0.00 μB per cell
Energy of formation ... -0.297 eV/atom
D(E_F) ... 6.6 states/eV/f.u.
Space group ... I4/mmm (139)

```
4
Lattice="4.1591 0.0025 0.0000 -0.0015 4.1591 0.0000 -2.0788 -2.0808 3.6666" Properties=species:S:1:pos:R:3 pbc="T T T"
Sn -0.0008 2.0795 0.0000
Pd 2.0795 0.0013 0.0000
Rh 2.0788 2.0808 1.8333
Rh -0.0001 -0.0001 1.8333
```

---

The lowest energy of formation belongs to which entry? SnPdRh2

---

What is the formula in the second record? SnPdRh2

---

Which of these has the lowest energy of formation? SnPdRh2